Record 1
The following is a GGA-PBE calculation of a relaxed structure of NdHoCu2Sb4, from OQMD via LeMat-Bulk.

The structure in extended XYZ format:
```
8
Lattice="4.3384 0.0000 0.0000 0.0000 4.3384 0.0000 0.0000 0.0000 9.9417" Properties=species:S:1:pos:R:3 pbc="T T T"
Nd 0.0000 0.0000 0.0000
Ho 2.1692 2.1692 4.9847
Cu 0.0000 2.1692 7.3838
Cu 2.1692 0.0000 7.3838
Sb 0.0000 0.0000 5.8135
Sb 0.0000 2.1692 2.5414
Sb 2.1692 0.0000 2.5414
Sb 2.1692 2.1692 8.9638
```

***

Record 2
3
Lattice="0.0000 3.2891 3.2891 3.2891 0.0000 3.2891 3.2891 3.2891 0.0000" Properties=species:S:1:pos:R:3 comment="AcMoW (GGA-PBE, optimized geometry)" de_polymorph_ev_per_atom=1.1604 pbc="T T T"
Ac 0.0000 0.0000 0.0000
Mo 4.9337 4.9337 4.9337
W 1.6446 1.6446 1.6446

***

no.,density (g/cm³),E (eV per cell)
1,8.19,-38.354
2,11.83,-21.027